1.
VASP calculation (PBE-GGA) on crystalline Pr3SmDyTm at its relaxed geometry.

Cell and atoms, written as extended XYZ:
```
12
Lattice="-2.8472 3.9151 -1.6908 3.7313 -3.4040 -6.3900 -7.9697 -6.3459 -1.2733" Properties=species:S:1:pos:R:3 pbc="T T T"
Pr -4.6385 -1.6900 -3.8776
Pr -2.4472 -4.1448 -5.4765
Pr -6.4207 -7.3087 -6.1113
Pr -0.6649 1.4739 -3.2427
Pr -5.2078 -5.2417 -3.3675
Pr -1.8778 -0.5931 -5.9865
Sm -3.9849 -3.1729 -0.6367
Sm 0.0000 0.0000 0.0000
Dy -3.6785 -6.2003 -8.1623
Dy -3.4071 0.3655 -1.1918
Tm -5.8540 -3.7715 -6.6503
Tm -1.2316 -2.0633 -2.7037
```

Its total energy is -4.67 eV per atom. As for the space-group type: Cmcm. The magnetization comes out at 0.00 μB per cell. For the formation energy, the calculation gives 0.02 eV/atom.


2.
VASP calculation (PBE-GGA) on crystalline TeBr at its relaxed geometry.

Cell and atoms, written as extended XYZ:
```
12
Lattice="-5.7878 11.8502 -1.1865 0.0021 -8.4201 -10.2194 -2.8778 -1.2985 1.0693" Properties=species:S:1:pos:R:3 pbc="T T T"
Te -6.0151 7.9685 -3.9142
Te -5.6994 -1.4248 -9.2758
Te -4.7527 2.7815 -6.8155
Te -2.6484 -5.8369 -6.4224
Te -2.9641 3.5565 -1.0607
Te -3.9108 -0.6498 -3.5211
Br -4.7341 6.4957 -2.2552
Br -5.2094 -0.5650 -6.9130
Br -5.5437 5.1141 -6.1117
Br -3.9294 -4.3641 -8.0814
Br -3.4540 2.6966 -3.4235
Br -3.1198 -2.9825 -4.2249
```

Its total energy is -2.33 eV per atom. As for the space-group type: P6_3/m. The magnetization comes out at 0.00 μB per cell. The formation energy without anion corrections comes out at 0.082 eV/atom.


3.
VASP calculation (PBE-GGA) on crystalline Sr3CdAu at its relaxed geometry.

Cell and atoms, written as extended XYZ:
```
20
Lattice="8.3194 0.0000 0.0000 0.0000 8.7668 -3.4765 0.0000 0.4179 10.2427" Properties=species:S:1:pos:R:3 pbc="T T T"
Sr 1.3331 5.7495 6.1328
Sr 6.9863 3.4353 0.6333
Sr 5.4928 7.8187 -1.1050
Sr 2.8266 1.3661 7.8711
Sr 5.7075 4.7611 7.0163
Sr 2.6119 4.4236 -0.2502
Sr 1.5478 8.8070 -1.9885
Sr 6.7716 0.3777 8.7546
Sr 0.0620 2.1299 5.0631
Sr 8.2574 7.0549 1.7030
Sr 4.2217 2.6715 3.4413
Sr 4.0977 6.5133 3.3249
Cd 6.9233 4.8777 3.8735
Cd 1.3961 4.3071 2.8927
Cd 2.7636 8.6905 1.1544
Cd 5.5558 0.4943 5.6117
Au 0.2489 3.3092 8.1120
Au 8.0705 5.8756 -1.3459
Au 4.4087 1.4921 0.3924
Au 3.9108 7.6926 6.3737
```

Its total energy is -2.27 eV per atom. As for the space-group type: P2_1/c. For the distance to the lowest polymorph of the same formula, the calculation gives 0 meV per atom. The magnetization comes out at 0.00 μB per cell. For the formation energy, the calculation gives -0.42 eV/atom.


4.
VASP calculation (PBE-GGA) on crystalline LiHg2SeI at its relaxed geometry.

Cell and atoms, written as extended XYZ:
```
5
Lattice="-5.2870 0.2154 1.5475 0.7242 -4.5007 3.1005 1.2839 2.9459 3.9765" Properties=species:S:1:pos:R:3 pbc="T T T"
I -1.6395 -0.6697 4.3122
Hg 0.3621 -2.2503 1.5502
Hg -2.6435 0.1077 0.7737
Se 0.0000 0.0000 0.0000
Li 0.6419 1.4730 1.9882
```

Its total energy is -1.92 eV per atom. As for the space-group type: P4/mmm. The magnetization comes out at 0.00 μB per cell. The formation energy without anion corrections comes out at -0.409 eV/atom.


5.
VASP calculation (PBE-GGA) on crystalline AcSiN2 at its relaxed geometry.

Cell and atoms, written as extended XYZ:
```
4
Lattice="3.1334 0.0000 0.0000 1.5667 2.7136 0.0000 1.5667 0.9045 5.9610" Properties=species:S:1:pos:R:3 pbc="T T T"
Ac 3.1334 1.8090 2.9805
Si 0.0000 0.0000 0.0000
N 4.7000 2.7136 4.9880
N 1.5667 0.9045 0.9730
```

Its total energy is -6.83 eV per atom. As for the space-group type: R-3m. For the distance to the lowest polymorph of the same formula, the calculation gives 632 meV per atom. The magnetization comes out at 0.00 μB per cell. The formation energy without anion corrections comes out at -0.280 eV/atom.


6.
VASP calculation (PBE-GGA) on crystalline SrVH at its relaxed geometry.

Cell and atoms, written as extended XYZ:
```
6
Lattice="-3.9958 -0.4476 -1.3967 1.1845 -5.4415 -1.6498 -0.7741 -4.4603 3.6390" Properties=species:S:1:pos:R:3 pbc="T T T"
H -3.1403 -3.9041 -1.9429
H -4.0229 -3.4614 0.4399
Sr -1.3468 -9.1662 1.0932
Sr -3.4799 -6.1239 -0.2613
V -2.4938 -2.6871 -0.5336
V -0.7480 -2.4925 0.0768
```

Its total energy is -4.55 eV per atom. As for the space-group type: Amm2. For the distance to the lowest polymorph of the same formula, the calculation gives 51 meV per atom. The magnetization comes out at 0.00 μB per cell.


- Which value of magnetization does entry 3 give?
  0.00 μB per cell


- What is the formula in the sixth record?
  SrVH